Li2Cr3FeO8 | PBE with a Hubbard U | relaxed

* excess energy over the best structure of this formula in the dataset: 0.088 eV/atom

Lattice parameters (Å, degrees): 5.2416 7.7355 7.8124 95.59 94.17 109.33
Closest atoms and distances in Å follow each position.
Fractional coordinates of all 28 atoms:
O1 0.0807 0.7719 0.8531  3 Cr 1.89-2.02
O2 0.0778 0.3639 0.5311  2 Cr 1.96-2.02, 1 Fe 2.00, 1 Li 2.13
O3 0.4457 0.1539 0.9634  1 Fe 1.92, 2 Cr 2.02-2.04, 1 Li 2.11
O4 0.5736 0.8517 0.0321  3 Cr 2.01-2.02, 2 Li 2.13-2.19
Li1 0.7555 0.7597 0.2516  5 O 2.05-2.22
O5 0.3345 0.0282 0.6000  3 Cr 1.88-2.03
O6 0.6877 0.4015 0.7243  2 Cr 1.92-2.04, 1 Fe 2.01
Fe1 0.9450 0.4371 0.3132  6 O 1.89-2.00
O7 0.6636 0.9652 0.3929  3 Cr 1.96-1.99, 1 Li 2.05
Li2 0.9862 0.9901 0.9956  6 O 2.13-2.37
Cr1 0.7085 0.1845 0.5623  6 O 1.98-2.04
Cr2 0.0386 0.5655 0.6877  6 O 1.89-2.01
O8 0.1590 0.4606 0.8911  1 Fe 1.91, 2 Cr 2.00-2.01, 1 Li 2.06
O9 0.5951 0.2907 0.3578  1 Fe 1.89, 2 Cr 2.01, 1 Li 2.08
Cr3 0.5545 0.0682 0.1876  6 O 1.99-2.04
O10 0.9175 0.6458 0.4680  1 Fe 1.97, 2 Cr 2.01-2.04, 1 Li 2.18
Cr4 0.2004 0.6793 0.0631  6 O 1.99-2.04
O11 0.1777 0.8956 0.2245  3 Cr 1.93-2.04, 1 Li 2.15
Cr5 0.2939 0.8229 0.4377  6 O 1.88-2.04
O12 0.8310 0.1059 0.7844  1 Fe 1.96, 2 Cr 2.02, 2 Li 2.17-2.18
Fe2 0.8061 0.3139 0.9396  6 O 1.91-2.01
O13 0.4020 0.7115 0.6343  3 Cr 1.97-2.01, 1 Li 2.10
O14 0.8286 0.5236 0.1090  2 Fe 1.92-1.96, 1 Cr 2.00
Li3 0.4885 0.5001 0.4876  5 O 2.08-2.18
O15 0.3074 0.6006 0.2898  1 Fe 1.94, 2 Cr 2.00-2.03, 1 Li 2.10
O16 0.9255 0.2273 0.1436  2 Fe 1.93-1.96, 1 Cr 2.00
Li4 0.2585 0.2504 0.7634  5 O 2.06-2.22
Cr6 0.4569 0.9305 0.8112  6 O 2.01-2.03